Record 1
A geometry-optimized YSiSe2 structure, computed with GGA-PBEsol.

a = 3.726 Å, b = 4.089 Å, c = 5.500 Å
α = 90.00°, β = 90.00°, γ = 90.00°
Sites, in units of the cell vectors:
Si  0.500  0.500  0.000
Y  0.500  0.000  0.500
Se  0.000  0.500  0.500
Se  0.000  0.000  0.000

Output
SG ... Pmmm
Formation energy (no corrections) ... -0.77 eV/atom
Offset from the most stable computed form ... 263 meV per atom



Record 2
A geometry-optimized CsInPb3 structure, computed with GGA-PBEsol.

a = 6.149 Å, b = 6.149 Å, c = 6.149 Å
α = 90.00°, β = 90.00°, γ = 90.00°
Sites, in units of the cell vectors:
Pb  0.000  0.500  0.000
Pb  0.000  0.000  0.500
Pb  0.500  0.000  0.000
Cs  0.000  0.000  0.000
In  0.500  0.500  0.500

Output
ΔE_f ... 1.21 eV per atom
SG ... Pm-3m



Record 3
A geometry-optimized KTaBe2 structure, computed with GGA-PBEsol.

a = 4.571 Å, b = 4.571 Å, c = 4.571 Å
α = 60.00°, β = 60.00°, γ = 60.00°
Sites, in units of the cell vectors:
Be  0.250  0.250  0.250
Be  0.750  0.750  0.750
K  0.000  0.000  0.000
Ta  0.500  0.500  0.500

Output
ΔE_f ... 1.45 eV per atom
SG ... Fm-3m
Offset from the most stable computed form ... 563 meV per atom



Record 4
A geometry-optimized EuCu2Sb2 structure, computed with GGA-PBEsol.

a = 4.484 Å, b = 4.484 Å, c = 10.456 Å
α = 90.00°, β = 90.00°, γ = 90.00°
Last column: magnetic moment on the atom in μB.
Sites, in units of the cell vectors:
Cu  0.500  0.500  0.000  0.02
Cu  0.500  0.000  0.632  0.01
Cu  0.000  0.500  0.368  0.01
Cu  0.000  0.000  0.000  0.02
Sb  0.000  0.500  0.129  0.04
Sb  0.000  0.000  0.500  0.02
Sb  0.500  0.500  0.500  0.02
Sb  0.500  0.000  0.871  0.04
Eu  0.500  0.000  0.238  -6.78
Eu  0.000  0.500  0.762  -6.78

Output
SG ... P4/nmm
Formation energy (no corrections) ... -0.47 eV/atom



Record 5
A geometry-optimized NaFeW3 structure, computed with GGA-PBEsol.

a = 4.496 Å, b = 4.496 Å, c = 4.496 Å
α = 90.00°, β = 90.00°, γ = 90.00°
Sites, in units of the cell vectors:
W  0.000  0.000  0.500
W  0.500  0.000  0.000
W  0.000  0.500  0.000
Fe  0.000  0.000  0.000
Na  0.500  0.500  0.500

Output
ΔE_f ... 1.63 eV per atom
SG ... Pm-3m



Record 6
A geometry-optimized ReSnPd2Cl structure, computed with GGA-PBEsol.

a = 4.901 Å, b = 4.901 Å, c = 5.031 Å
α = 90.00°, β = 90.00°, γ = 90.00°
Last column: magnetic moment on the atom in μB.
Sites, in units of the cell vectors:
Cl  0.000  0.000  0.500  0.06
Pd  0.500  0.000  0.000  -0.02
Pd  0.000  0.500  0.000  -0.02
Sn  0.000  0.000  0.000  -0.04
Re  0.500  0.500  0.500  3.81

Output
SG ... P4/mmm
Formation energy (no corrections) ... 1.51 eV/atom



Record 7
A geometry-optimized LiCuW2 structure, computed with GGA-PBEsol.

a = 4.305 Å, b = 4.305 Å, c = 4.305 Å
α = 60.00°, β = 60.00°, γ = 60.00°
Sites, in units of the cell vectors:
Cu  0.500  0.500  0.500
Li  0.250  0.250  0.250
W  0.750  0.750  0.750
W  0.000  0.000  0.000

Output
ΔE_f ... 0.59 eV per atom
SG ... F-43m
Offset from the most stable computed form ... 146 meV per atom



Record 8
A geometry-optimized Co2Si2Ni structure, computed with GGA-PBEsol.

a = 2.578 Å, b = 6.455 Å, c = 6.455 Å
α = 90.00°, β = 90.00°, γ = 90.00°
Sites, in units of the cell vectors:
Co  0.500  0.644  0.856
Co  0.500  0.144  0.644
Co  0.500  0.356  0.144
Co  0.500  0.856  0.356
Ni  0.000  0.500  0.500
Ni  0.000  0.000  0.000
Si  0.000  0.653  0.153
Si  0.000  0.153  0.347
Si  0.000  0.347  0.847
Si  0.000  0.847  0.653

Output
SG ... P4/mbm
Formation energy (no corrections) ... -0.55 eV/atom



Record 9
A geometry-optimized MoOsW2 structure, computed with GGA-PBEsol.

a = 4.411 Å, b = 4.411 Å, c = 4.411 Å
α = 60.00°, β = 60.00°, γ = 60.00°
Sites, in units of the cell vectors:
W  0.250  0.250  0.250
W  0.750  0.750  0.750
Mo  0.000  0.000  0.000
Os  0.500  0.500  0.500

Output
ΔE_f ... 0.16 eV per atom
SG ... Fm-3m
Offset from the most stable computed form ... 4 meV per atom



Record 10
A geometry-optimized ReF6 structure, computed with GGA-PBEsol.

a = 5.031 Å, b = 8.693 Å, c = 9.518 Å
α = 90.00°, β = 90.00°, γ = 90.00°
Last column: magnetic moment on the atom in μB.
Sites, in units of the cell vectors:
F  0.282  0.750  0.985  0.03
F  0.571  0.401  0.241  0.03
F  0.071  0.599  0.259  0.03
F  0.071  0.901  0.259  0.03
F  0.767  0.900  0.483  0.03
F  0.733  0.900  0.983  0.03
F  0.880  0.750  0.757  0.03
F  0.929  0.099  0.741  0.03
F  0.429  0.599  0.759  0.03
F  0.429  0.901  0.759  0.03
F  0.233  0.100  0.517  0.03
F  0.120  0.250  0.243  0.03
F  0.380  0.250  0.743  0.03
F  0.767  0.600  0.483  0.03
F  0.929  0.401  0.741  0.03
F  0.620  0.750  0.257  0.03
F  0.218  0.750  0.485  0.03
F  0.267  0.400  0.017  0.03
F  0.267  0.100  0.017  0.03
F  0.782  0.250  0.515  0.03
F  0.571  0.099  0.241  0.03
F  0.233  0.400  0.517  0.03
F  0.733  0.600  0.983  0.03
F  0.718  0.250  0.015  0.03
Re  0.081  0.250  0.629  0.75
Re  0.581  0.750  0.871  0.75
Re  0.419  0.250  0.129  0.75
Re  0.919  0.750  0.371  0.75

Output
SG ... Pnma
Formation energy (no corrections) ... -2.11 eV/atom
Offset from the most stable computed form ... 0 meV per atom



Record 11
A geometry-optimized AgW2Br2 structure, computed with GGA-PBEsol.

a = 3.567 Å, b = 3.567 Å, c = 8.696 Å
α = 101.83°, β = 101.83°, γ = 90.00°
Sites, in units of the cell vectors:
W  0.250  0.750  0.500
W  0.750  0.250  0.500
Br  0.391  0.391  0.783
Br  0.609  0.609  0.217
Ag  0.000  0.000  0.000

Output
SG ... I4/mmm
Formation energy (no corrections) ... 1.02 eV/atom



Record 12
A geometry-optimized Ta2ZnP structure, computed with GGA-PBEsol.

a = 3.533 Å, b = 4.629 Å, c = 4.763 Å
α = 119.07°, β = 111.77°, γ = 90.00°
Sites, in units of the cell vectors:
Ta  0.776  0.776  0.553
Ta  0.224  0.224  0.447
Zn  0.000  0.500  0.000
P  0.500  0.000  0.000

Output
ΔE_f ... -0.21 eV per atom
SG ... Immm



no.,density (g cm⁻³)
1,5.448
2,6.210
3,5.854
4,8.256
5,11.517
6,7.602
7,12.895
8,7.196
9,17.890
10,4.790
11,9.966
12,12.346